# 1
First-principles (PBE) data for an optimized crystal structure of Na2ZnS, as listed in the Alexandria database.

Cell: 8.559 8.559 8.559 Å, 122.84 122.84 85.15°
Element x y z (fractional)
Na 0.375 0.118 0.243
Na 0.868 0.625 0.743
Na 0.875 0.132 0.757
Na 0.882 0.125 0.257
Zn 0.250 0.750 0.500
Zn 0.500 0.500 0.000
S 0.000 0.000 0.000
S 0.750 0.250 0.500

- symmetry = I-42d (122)
- formation energy (no corrections) (eV/f.u.) = -1.3

=====

# 2
First-principles (PBE) data for an optimized crystal structure of Dy2Ni2Pb, as listed in the Alexandria database.

Cell: 5.780 5.780 5.780 Å, 48.98 48.98 48.98°
Element x y z (fractional)
Dy 0.226 0.226 0.226
Dy 0.774 0.774 0.774
Ni 0.420 0.420 0.420
Ni 0.580 0.580 0.580
Pb 0.000 0.000 0.000

- symmetry = R-3m (166)
- ΔH_f (0 K) (eV/atom) = -0.337

=====

# 3
First-principles (PBE) data for an optimized crystal structure of MgCd4AgHg, as listed in the Alexandria database.

Cell: 5.869 5.869 9.928 Å, 90.00 90.00 97.65°
Element x y z (fractional)
Mg 0.016 0.984 0.750
Mg 0.984 0.016 0.250
Cd 0.151 0.480 0.750
Cd 0.172 0.828 0.002
Cd 0.172 0.828 0.498
Cd 0.480 0.151 0.250
Cd 0.520 0.849 0.750
Cd 0.828 0.172 0.502
Cd 0.828 0.172 0.998
Cd 0.849 0.520 0.250
Ag 0.500 0.500 0.000
Ag 0.500 0.500 0.500
Hg 0.352 0.648 0.250
Hg 0.648 0.352 0.750

- symmetry = Cmcm (63)
- ΔH_f (0 K) (eV/atom) = 0.077

=====

Number 1: energy -2.3243 eV per atom. Number 2: energy -5.2324 eV per atom. Number 3: energy -1.1240 eV per atom.